Sc2Hg2P (PBE, relaxed); crystal system = tetragonal; energy relative to the elements = -0.5090 eV per atom
1.0
-1.4057 -3.0898 -6.0305
1.9043 -6.0909 2.6768
-4.4276 -0.7597 1.4213
Hg P Sc
4 2 4
Cartesian
-1.4992 -7.5741 -0.9086
-2.7407 -5.1646 -3.4882
-1.1883 -4.7756 1.5557
-2.4298 -2.3661 -1.0239
0.0000 0.0000 0.0000
0.2493 -4.5903 -1.6769
0.3901 -2.5358 -0.1403
0.1085 -6.6448 -3.2135
1.1168 -6.0767 0.2310
-0.6182 -3.1039 -3.5848



K3TeH4 (PBE, relaxed); crystal system = monoclinic
1.0
4.4511 0.0000 0.0000
0.0000 5.5539 -0.6847
-2.2255 -1.9410 9.5885
K Te H
3 1 4
Cartesian
2.2255 3.2900 6.1478
0.0000 0.3229 2.7560
0.0000 2.7769 -0.3424
2.2255 0.0000 0.0000
2.2255 3.6890 1.5267
2.2255 3.2452 2.1596
0.0000 -0.0761 7.3771
0.0000 0.3678 6.7442



K2CdCu (PBE, relaxed); crystal system = tetragonal; energy relative to the elements = 0.1595 eV per atom
1.0
3.7687 0.0000 0.0000
0.0000 3.7699 0.0000
0.0000 0.0000 10.1531
K Cd Cu
2 1 1
Cartesian
1.8844 1.8849 3.3502
0.0000 0.0000 9.3609
0.0000 0.0000 6.0476
1.8844 1.8849 6.6239



Si2Os (PBE, relaxed); crystal system = orthorhombic; raw formation energy = -0.450 eV per atom
1.0
-3.0997 1.8675 5.4373
-2.4570 -5.9527 -1.0905
6.0265 -3.3261 4.5780
Si Os
16 8
Cartesian
-1.6483 -0.2557 6.0984
2.1181 -7.1555 2.8264
-1.7417 -3.6441 6.2382
-1.1087 -2.3298 0.6379
2.0469 -1.7639 4.3588
-1.7988 -2.0105 4.2568
-1.5771 -5.6473 4.5661
1.6385 -1.3202 7.6974
2.2687 -5.4007 4.6680
-1.6357 -3.9954 2.6000
1.7432 -7.0846 6.6149
2.1055 -3.4159 6.3249
1.5786 -5.0814 8.2870
-1.1687 -6.0910 1.2275
2.2116 -3.7671 2.6867
-1.2734 -0.3266 2.3100
0.2854 -5.0822 6.1166
0.3733 -5.3897 3.0567
-3.4104 -3.9210 4.3615
3.8802 -3.4903 4.5634
-2.5954 -4.2686 0.3153
0.1844 -2.3290 2.8083
-2.9613 0.1835 4.0315
0.0965 -2.0215 5.8682



KLiDyBr5 (PBE, relaxed); crystal system = monoclinic; raw formation energy = -1.761 eV per atom
1.0
7.8547 -0.0558 -0.0857
-2.3462 7.4963 -0.0857
-2.3838 -3.2200 9.7714
Br Li K Dy
10 2 2 2
Cartesian
-1.1547 4.8755 5.8684
-0.3026 0.9685 5.5124
-3.0676 2.2918 8.6173
-2.1041 6.0708 2.3571
0.9180 2.6172 8.9734
4.2793 -0.6550 3.7316
6.1921 1.9287 0.9827
3.4272 3.2520 4.0876
2.2065 1.6033 0.6266
5.2287 -1.8503 7.2429
4.1100 1.4703 2.3571
-0.9854 2.7502 7.2429
0.6324 4.0449 2.3571
2.4922 0.1756 7.2429
0.0000 0.0000 0.0000
-1.1919 -1.6100 4.8857



PrDy (PBE, relaxed); crystal system = trigonal; energy relative to the elements = 0.0115 eV per atom
1.0
3.5659 -0.0019 -0.7867
-1.8689 3.1371 -0.0038
0.7530 0.4663 11.9000
Dy Pr
2 2
Cartesian
1.4962 3.0256 6.7778
0.9537 0.5759 4.3317
2.1804 1.3142 9.8930
0.2696 2.2873 1.2165



Mg2Se3 (PBE, relaxed); crystal system = trigonal; raw formation energy = -0.675 eV per atom
1.0
8.5120 -1.9477 0.1240
8.5120 1.9477 0.1240
8.0177 0.0000 3.4611
Mg Se
2 3
Cartesian
15.0938 0.0000 2.2357
9.9479 0.0000 1.4735
19.7922 0.0000 2.9316
5.2495 0.0000 0.7776
0.0000 0.0000 0.0000



no.,uncorrected energy (eV/atom)
1,-4.24
2,-2.79
3,-1.64
4,-7.81
5,-3.76
6,-4.68
7,-3.40